First-principles (PBE) data for a relaxed structure of Tb2Pm2Sn, as listed in Alexandria via LeMat-Bulk.

Cell lengths 4.377, 4.377, 9.232 Å; angles 103.71, 103.71, 90.00 degrees
Positions (direct):
1 Sn 0.000 0.000 0.000
2 Tb 0.250 0.750 0.500
3 Pm 0.586 0.586 0.172
4 Pm 0.414 0.414 0.828
5 Tb 0.750 0.250 0.500

Computed properties:
Magnetization   0.0 μB/f.u.
DOS(E_F)   5.432 states/eV/cell
E_tot   -4.414 eV/atom